PBE Hf6AlRe, relaxed; space group = C2/m, No. 12; DOS(E_F) = 0.91 states/eV per atom; density = 12.96 g cm⁻³; calculated formation energy = -0.10 eV/atom
1.0
3.001 -4.834 0.000
3.001 4.834 0.000
-0.926 0.000 5.671
Hf Al Re
6 1 1
Direct
0.101 0.655 0.743
0.242 0.242 0.937
0.345 0.899 0.257
0.655 0.101 0.743
0.758 0.758 0.063
0.899 0.345 0.257
0.500 0.500 0.500
0.000 0.000 0.500